i) TiV6Cr2, relaxed, DFT GGA-PBE; total magnetic moment = 0.000 μB per formula unit
1.0
-3.5435 4.1751 4.2458
3.5435 -4.1751 4.2458
3.5435 4.1751 -4.2458
Ti V Cr
2 12 4
Cartesian
0.0000 0.0000 0.0000
3.5435 0.0000 0.0000
3.5435 2.4654 -2.1068
1.9547 1.9198 0.0000
5.1322 1.9198 0.0000
2.1358 0.0000 2.1887
4.9511 0.0000 2.1887
0.0000 1.7097 2.1391
3.5435 2.4654 2.1068
-1.4076 4.1751 2.0571
1.4076 4.1751 2.0571
-1.5888 2.2553 4.2458
1.5888 2.2553 4.2458
0.0000 1.7097 6.3526
0.0000 2.9863 0.0000
2.3586 4.1751 0.0000
1.1849 0.0000 4.2458
0.0000 5.3639 0.0000



ii) TiV6Cr2, relaxed, DFT GGA-PBE; total magnetic moment = 0.000 μB per formula unit
1.0
4.7524 -1.4798 0.0000
4.7524 1.4798 0.0000
-2.9459 0.0000 8.5524
Ti V Cr
1 6 2
Cartesian
0.0000 0.0000 0.0000
-0.9075 0.0000 2.8371
2.7155 0.0000 1.0185
1.8651 0.0000 3.7507
4.6937 0.0000 4.8017
3.8433 0.0000 7.5339
7.4663 0.0000 5.7153
0.8508 0.0000 6.5741
5.7081 0.0000 1.9783



Most stable one: ii), least stable one: i).



i) Ti2CrW, relaxed, DFT GGA-PBE; total magnetic moment = 0.002 μB per formula unit
1.0
6.9065 0.0000 0.0000
0.0000 6.9065 0.0000
0.0000 0.0000 5.2824
Ti Cr W
8 4 4
Cartesian
1.5794 1.7266 0.6603
1.7266 5.0327 1.9809
1.7266 5.3270 4.6221
1.8738 1.7266 3.3015
5.0327 5.1798 3.3015
5.1798 1.5794 4.6221
5.1798 1.8738 1.9809
5.3270 5.1798 0.6603
0.0000 0.0000 0.0000
0.0000 3.4532 1.3206
3.4532 0.0000 3.9618
3.4532 3.4532 2.6412
0.0000 0.0000 2.6412
0.0000 3.4532 3.9618
3.4532 0.0000 1.3206
3.4532 3.4532 0.0000



ii) Ti2CrW, relaxed, DFT GGA-PBE; total magnetic moment = 1.778 μB per formula unit
1.0
3.1189 0.0000 0.0000
0.0000 3.1189 0.0000
0.0000 0.0000 6.2740
Ti Cr W
2 1 1
Cartesian
0.0000 0.0000 1.5139
0.0000 0.0000 4.7600
1.5594 1.5594 0.0000
1.5594 1.5594 3.1370



Most stable one: ii), least stable one: i).



i) TiCrW3, relaxed, DFT GGA-PBE; total magnetic moment = 3.817 μB per formula unit
1.0
4.5756 0.0000 0.0000
0.0000 4.5756 0.0000
0.0000 0.0000 4.5756
Ti Cr W
1 1 3
Cartesian
0.0000 0.0000 0.0000
2.2878 2.2878 2.2878
0.0000 0.0000 2.2878
0.0000 2.2878 0.0000
2.2878 0.0000 0.0000



ii) TiCrW3, relaxed, DFT GGA-PBE; total magnetic moment = 0.000 μB per formula unit
1.0
4.4999 0.0000 0.0000
0.0000 4.4999 0.0000
0.0000 0.0000 4.4999
Ti Cr W
1 1 3
Cartesian
0.0000 0.0000 0.0000
2.2500 2.2500 2.2500
0.0000 2.2500 2.2500
2.2500 0.0000 2.2500
2.2500 2.2500 0.0000



Most stable one: ii), least stable one: i).



i) Y3TiCr, relaxed, DFT GGA-PBE; total magnetic moment = 2.497 μB per formula unit
1.0
5.1822 0.0000 0.0000
0.0000 5.1822 0.0000
0.0000 0.0000 5.1822
Y Ti Cr
3 1 1
Cartesian
0.0000 0.0000 2.5911
0.0000 2.5911 0.0000
2.5911 0.0000 0.0000
2.5911 2.5911 2.5911
0.0000 0.0000 0.0000



ii) Y3TiCr, relaxed, DFT GGA-PBE; total magnetic moment = 0.295 μB per formula unit
1.0
5.2573 0.0000 0.0000
0.0000 5.2573 0.0000
0.0000 0.0000 5.2573
Y Ti Cr
3 1 1
Cartesian
0.0000 0.0000 2.6286
0.0000 2.6286 0.0000
2.6286 0.0000 0.0000
0.0000 0.0000 0.0000
2.6286 2.6286 2.6286



Most stable one: i), least stable one: ii).



i) Zr2TiCr, relaxed, DFT GGA-PBE; total magnetic moment = 0.937 μB per formula unit
1.0
6.6526 0.0000 0.0000
0.0000 6.6526 0.0000
0.0000 0.0000 6.6526
Zr Ti Cr
8 4 4
Cartesian
1.6631 1.6631 1.6631
1.6631 1.6631 4.9894
1.6631 4.9894 1.6631
1.6631 4.9894 4.9894
4.9894 1.6631 1.6631
4.9894 1.6631 4.9894
4.9894 4.9894 1.6631
4.9894 4.9894 4.9894
0.0000 0.0000 0.0000
0.0000 3.3263 3.3263
3.3263 0.0000 3.3263
3.3263 3.3263 0.0000
0.0000 0.0000 3.3263
0.0000 3.3263 0.0000
3.3263 0.0000 0.0000
3.3263 3.3263 3.3263



ii) Zr2TiCr, relaxed, DFT GGA-PBE; total magnetic moment = 0.003 μB per formula unit
1.0
7.2667 0.0000 0.0000
0.0000 7.2667 0.0000
0.0000 0.0000 5.7798
Zr Ti Cr
8 4 4
Cartesian
1.6437 1.8167 0.7225
1.8167 5.2771 2.1674
1.8167 5.6230 5.0573
1.9896 1.8167 3.6124
5.2771 5.4500 3.6124
5.4500 1.6437 5.0573
5.4500 1.9896 2.1674
5.6230 5.4500 0.7225
0.0000 0.0000 2.8899
0.0000 3.6334 4.3348
3.6334 0.0000 1.4449
3.6334 3.6334 0.0000
0.0000 0.0000 0.0000
0.0000 3.6334 1.4449
3.6334 0.0000 4.3348
3.6334 3.6334 2.8899



Most stable one: i), least stable one: ii).



i) ZrTiCr4, relaxed, DFT GGA-PBE; total magnetic moment = 0.000 μB per formula unit
1.0
0.0000 3.5031 3.5031
3.5031 0.0000 3.5031
3.5031 3.5031 0.0000
Zr Ti Cr
1 1 4
Cartesian
0.0000 0.0000 0.0000
5.2547 5.2547 5.2547
2.6289 2.6289 2.6289
4.3774 4.3774 2.6289
4.3774 2.6289 4.3774
2.6289 4.3774 4.3774



ii) ZrTiCr4, relaxed, DFT GGA-PBE; total magnetic moment = 0.000 μB per formula unit
1.0
4.9968 0.0000 0.0000
-2.4984 4.3273 0.0000
0.0000 0.0000 7.9547
Zr Ti Cr
2 2 8
Cartesian
0.0000 2.8849 0.5171
2.4984 1.4424 7.4375
0.0000 2.8849 3.5342
2.4984 1.4424 4.4204
0.0000 0.0000 0.0000
0.0000 0.0000 3.9773
0.0000 1.4635 5.8893
-1.2310 3.5956 5.8893
1.2674 0.7317 2.0654
1.2310 3.5956 5.8893
3.7294 0.7317 2.0654
2.4984 2.8639 2.0654



Most stable one: i), least stable one: ii).



i) ZrTi2Cr2, relaxed, DFT GGA-PBE; total magnetic moment = 0.000 μB per formula unit
1.0
3.6088 0.0000 0.0000
0.0000 3.6088 0.0000
0.0000 0.0000 12.8244
Zr Ti Cr
2 4 4
Cartesian
0.0000 0.0000 0.0000
1.8044 1.8044 6.4122
0.0000 0.0000 4.9794
0.0000 0.0000 7.8449
1.8044 1.8044 1.4328
1.8044 1.8044 11.3916
0.0000 1.8044 3.2061
0.0000 1.8044 9.6183
1.8044 0.0000 3.2061
1.8044 0.0000 9.6183



ii) ZrTi2Cr2, relaxed, DFT GGA-PBE; total magnetic moment = 1.947 μB per formula unit
1.0
3.8826 0.0000 0.0000
0.0000 3.8826 0.0000
0.0000 0.0000 11.1976
Zr Ti Cr
2 4 4
Cartesian
0.0000 0.0000 0.0000
1.9413 1.9413 5.5988
0.0000 1.9413 2.7994
0.0000 1.9413 8.3982
1.9413 0.0000 2.7994
1.9413 0.0000 8.3982
0.0000 0.0000 4.5276
0.0000 0.0000 6.6700
1.9413 1.9413 1.0712
1.9413 1.9413 10.1264



Most stable one: ii), least stable one: i).



i) TlCr4, relaxed, DFT GGA-PBE; total magnetic moment = 18.381 μB per formula unit
1.0
6.3627 0.0000 0.0000
0.0000 6.3627 0.0000
0.0000 0.0000 6.3627
Tl Cr
2 8
Cartesian
0.0000 0.0000 0.0000
3.1813 3.1813 3.1813
1.5907 1.5907 1.5907
1.5907 1.5907 4.7720
1.5907 4.7720 1.5907
1.5907 4.7720 4.7720
4.7720 1.5907 1.5907
4.7720 1.5907 4.7720
4.7720 4.7720 1.5907
4.7720 4.7720 4.7720



ii) TlCr4, relaxed, DFT GGA-PBE; total magnetic moment = 0.001 μB per formula unit
1.0
3.8736 0.0000 0.0000
0.0000 3.8736 0.0000
0.0000 0.0000 9.9606
Tl Cr
2 8
Cartesian
0.0000 0.0000 0.0000
1.9368 1.9368 4.9803
0.0000 0.0000 3.7714
0.0000 0.0000 6.1892
0.0000 1.9368 2.4902
0.0000 1.9368 7.4705
1.9368 0.0000 2.4902
1.9368 0.0000 7.4705
1.9368 1.9368 1.2089
1.9368 1.9368 8.7517



Most stable one: ii), least stable one: i).



i) TlV2Cr, relaxed, DFT GGA-PBE; total magnetic moment = 1.305 μB per formula unit
1.0
3.7899 0.0000 0.0000
0.0000 3.7899 0.0000
0.0000 0.0000 19.1467
Tl V Cr
4 8 4
Cartesian
0.0000 0.0000 0.0000
0.0000 1.8950 4.7867
1.8950 0.0000 14.3600
1.8950 1.8950 9.5733
0.8673 0.9475 11.9667
0.9475 2.7623 16.7533
0.9475 2.9226 7.1800
1.0277 0.9475 2.3933
2.7623 2.8424 2.3933
2.8424 0.8673 7.1800
2.8424 1.0277 16.7533
2.9226 2.8424 11.9667
0.0000 0.0000 9.5733
0.0000 1.8950 14.3600
1.8950 0.0000 4.7867
1.8950 1.8950 0.0000



ii) TlV2Cr, relaxed, DFT GGA-PBE; total magnetic moment = 1.705 μB per formula unit
1.0
6.3050 0.0000 0.0000
0.0000 6.3050 0.0000
0.0000 0.0000 6.3050
Tl V Cr
4 8 4
Cartesian
0.0000 0.0000 0.0000
0.0000 3.1525 3.1525
3.1525 0.0000 3.1525
3.1525 3.1525 0.0000
1.5762 1.5762 1.5762
1.5762 1.5762 4.7287
1.5762 4.7287 1.5762
1.5762 4.7287 4.7287
4.7287 1.5762 1.5762
4.7287 1.5762 4.7287
4.7287 4.7287 1.5762
4.7287 4.7287 4.7287
0.0000 0.0000 3.1525
0.0000 3.1525 0.0000
3.1525 0.0000 0.0000
3.1525 3.1525 3.1525



Most stable one: ii), least stable one: i).



i) Tl2VCr, relaxed, DFT GGA-PBE; total magnetic moment = 6.485 μB per formula unit
1.0
6.8493 0.0000 0.0000
0.0000 6.8493 0.0000
0.0000 0.0000 6.8493
Tl V Cr
8 4 4
Cartesian
1.7123 1.7123 1.7123
1.7123 1.7123 5.1370
1.7123 5.1370 1.7123
1.7123 5.1370 5.1370
5.1370 1.7123 1.7123
5.1370 1.7123 5.1370
5.1370 5.1370 1.7123
5.1370 5.1370 5.1370
0.0000 0.0000 0.0000
0.0000 3.4246 3.4246
3.4246 0.0000 3.4246
3.4246 3.4246 0.0000
0.0000 0.0000 3.4246
0.0000 3.4246 0.0000
3.4246 0.0000 0.0000
3.4246 3.4246 3.4246



ii) Tl2VCr, relaxed, DFT GGA-PBE; total magnetic moment = 1.183 μB per formula unit
1.0
7.7312 0.0000 0.0000
0.0000 7.7312 0.0000
0.0000 0.0000 5.9963
Tl V Cr
8 4 4
Cartesian
1.9222 1.9328 0.7495
1.9328 5.7878 2.2486
1.9328 5.8090 5.2467
1.9434 1.9328 3.7477
5.7878 5.7984 3.7477
5.7984 1.9222 5.2467
5.7984 1.9434 2.2486
5.8090 5.7984 0.7495
0.0000 0.0000 2.9981
0.0000 3.8656 4.4972
3.8656 0.0000 1.4991
3.8656 3.8656 0.0000
0.0000 0.0000 0.0000
0.0000 3.8656 1.4991
3.8656 0.0000 4.4972
3.8656 3.8656 2.9981



Most stable one: i), least stable one: ii).



i) TlCrW, relaxed, DFT GGA-PBE; total magnetic moment = 0.000 μB per formula unit
1.0
3.0762 0.0000 0.0000
-1.5381 2.6641 0.0000
0.0000 0.0000 6.6180
Tl Cr W
1 1 1
Cartesian
0.0000 0.0000 0.0000
0.0000 1.7760 4.2255
1.5381 0.8880 2.5893



ii) TlCrW, relaxed, DFT GGA-PBE; total magnetic moment = 1.140 μB per formula unit
1.0
4.5000 0.0000 0.0000
-2.2500 3.8971 0.0000
0.0000 0.0000 2.9068
Tl Cr W
1 1 1
Cartesian
0.0000 0.0000 0.0000
2.2500 1.2990 1.9699
0.0000 2.5981 1.3048



iii) TlCrW, relaxed, DFT GGA-PBE; total magnetic moment = 0.003 μB per formula unit
1.0
3.1155 0.0000 0.0000
0.0000 4.9919 0.0000
0.0000 0.0000 13.7477
Tl Cr W
4 4 4
Cartesian
0.0000 0.0000 0.0000
0.0000 2.4959 6.8738
1.5577 0.0000 6.8738
1.5577 2.4959 0.0000
0.0000 0.0000 4.4451
0.0000 2.4959 11.3189
1.5577 0.0000 11.3189
1.5577 2.4959 4.4451
0.0000 0.0000 9.5082
0.0000 2.4959 2.6343
1.5577 0.0000 2.6343
1.5577 2.4959 9.5082



Most stable one: i), least stable one: ii).



i) TlCrW, relaxed, DFT GGA-PBE; total magnetic moment = 0.000 μB per formula unit
1.0
3.1869 0.0000 0.0000
0.0000 3.1869 0.0000
0.0000 0.0000 10.0123
Tl Cr W
2 2 2
Cartesian
0.0000 0.0000 0.0000
1.5934 1.5934 5.0062
0.0000 0.0000 3.1744
1.5934 1.5934 8.1805
0.0000 0.0000 6.9958
1.5934 1.5934 1.9897



ii) TlCrW, relaxed, DFT GGA-PBE; total magnetic moment = 0.993 μB per formula unit
1.0
6.1300 0.0000 0.0000
0.0000 6.1300 0.0000
0.0000 0.0000 6.1300
Tl Cr W
4 4 4
Cartesian
0.0000 0.0000 0.0000
0.0000 3.0650 3.0650
3.0650 0.0000 3.0650
3.0650 3.0650 0.0000
1.5325 1.5325 4.5975
1.5325 4.5975 1.5325
4.5975 1.5325 1.5325
4.5975 4.5975 4.5975
0.0000 0.0000 3.0650
0.0000 3.0650 0.0000
3.0650 0.0000 0.0000
3.0650 3.0650 3.0650



Most stable one: i), least stable one: ii).